Entry 1:
The following is a PBE calculation of a relaxed CeNdNpN3 crystal, from Alexandria.

```
CeNdNpN3
1.0
7.262 0.000 0.000
0.000 3.671 0.000
-0.931 0.000 8.673
Ce Nd Np N
2 2 2 6
direct
0.129 0.250 0.155
0.871 0.750 0.845
0.345 0.750 0.869
0.655 0.250 0.131
0.447 0.750 0.410
0.553 0.250 0.590
0.104 0.250 0.889
0.284 0.250 0.410
0.396 0.750 0.153
0.604 0.250 0.847
0.716 0.750 0.590
0.896 0.750 0.111
```

As for the formation energy (no corrections): -1.00 eV/atom. The symmetry is No. 11.

Entry 2:
The following is a PBE calculation of a relaxed Pm3ScGa3 crystal, from Alexandria.

```
Pm3ScGa3
1.0
4.528 -5.638 0.000
4.528 5.638 0.000
-0.167 0.000 7.330
Pm Sc Ga
6 2 6
direct
0.149 0.851 0.000
0.253 0.747 0.500
0.352 0.352 0.161
0.648 0.648 0.839
0.747 0.253 0.500
0.851 0.149 0.000
0.262 0.262 0.650
0.738 0.738 0.350
0.056 0.485 0.814
0.065 0.065 0.345
0.485 0.056 0.814
0.515 0.944 0.186
0.935 0.935 0.655
0.944 0.515 0.186
```

The formation enthalpy at 0 K is -0.35 eV per atom. The symmetry is No. 12.

Entry 3:
The following is a PBE calculation of a relaxed LaYPaO6 crystal, from Alexandria.

```
LaYPaO6
1.0
5.953 0.000 0.000
-2.977 5.155 0.000
0.000 0.000 4.688
La Y Pa O
1 1 1 6
direct
0.000 0.000 0.000
0.667 0.333 0.000
0.333 0.667 0.500
0.014 0.363 0.753
0.014 0.652 0.247
0.348 0.363 0.247
0.348 0.986 0.753
0.637 0.652 0.753
0.637 0.986 0.247
```

As for the formation energy (no corrections): -3.17 eV/atom. The symmetry is No. 149.

| no. | total energy (eV per cell) |
| --- | --- |
| 1 | -109.28 |
| 2 | -64.17 |
| 3 | -79.15 |